Entry from Alexandria: an optimized crystal structure of InNiP4 (PBEsol).

The space group is F-43m (No. 216) and the conventional cell measures 7.183, 7.183 and 7.183 Å, with angles of 90.00, 90.00 and 90.00 degrees. Symmetry generates all atoms from In at (0.000, 0.000, 0.000), Ni at (0.250, 0.250, 0.250) and P at (0.121, 0.121, 0.621).

The value obtained for the magnetic moment is 0.000 μB per formula unit. The value obtained for the volume is 15.4 Å³ per atom. The value obtained for the formation energy is 0.62 eV/atom. For the total energy, the calculation gives -4.76 eV per atom.